Entry 1:
Density functional theory data (PBE-GGA) for Pu2Sb2H after structural relaxation.

abc: 4.418 4.418 22.925
angles: 90.00 90.00 90.00
Space group I4_1/amd (No. 141, origin choice 2)
Symmetry-distinct sites (fractional):
Pu  0.000  0.250  0.068 x8
Sb  0.000  0.250  0.203 x8
H  0.000  0.250  0.375 x4

Results
E: -8.449 eV per atom

***

Entry 2:
Density functional theory data (PBE-GGA) for Pu2SbH after structural relaxation.

abc: 3.523 9.982 7.647
angles: 90.00 90.00 90.00
Space group Cmcm (No. 63)
Symmetry-distinct sites (fractional):
Pu  0.000  0.179  0.038 x8
Sb  0.000  0.468  0.250 x4
H  0.000  0.263  0.750 x4

Results
E: -9.059 eV per atom